Entry 1:
DFT (PBE-GGA) results for crystalline LaCe2Ni at its relaxed geometry.

CIF file:
```
data_LaCe2Ni
_symmetry_space_group_name_H-M 'R 3 m'
_symmetry_Int_Tables_number 160
_symmetry_space_group_name_Hall 'R 3 -2"'
_cell_length_a 3.7387
_cell_length_b 3.7387
_cell_length_c 27.8484
_cell_angle_alpha 90.00
_cell_angle_beta 90.00
_cell_angle_gamma 120.00
loop_
_atom_site_label
_atom_site_type_symbol
_atom_site_fract_x
_atom_site_fract_y
_atom_site_fract_z
_atom_site_occupancy
La1 La 0.0000 0.0000 0.0000 1
Ce1 Ce 0.0000 0.0000 0.5637 1
Ce2 Ce 0.0000 0.0000 0.7746 1
Ni1 Ni 0.0000 0.0000 0.1693 1
```

Calculated values
* Fermi-level density of states: 9.0 states/eV/f.u.
* energy above the most stable polymorph in this dataset: 6.42 kJ/mol of atoms
* crystal system: trigonal
* ΔE_f: -0.016 eV per atom
* uncorrected energy: -5.66 eV per atom

=====

Entry 2:
DFT (PBE-GGA) results for crystalline LaCe2Ni4 at its relaxed geometry.

CIF file:
```
data_LaCe2Ni4
_symmetry_space_group_name_H-M 'R -3 m'
_symmetry_Int_Tables_number 166
_symmetry_space_group_name_Hall '-R 3 2"'
_cell_length_a 4.1221
_cell_length_b 4.1221
_cell_length_c 30.3089
_cell_angle_alpha 90.00
_cell_angle_beta 90.00
_cell_angle_gamma 120.00
loop_
_atom_site_label
_atom_site_type_symbol
_atom_site_fract_x
_atom_site_fract_y
_atom_site_fract_z
_atom_site_occupancy
La1 La 0.0000 0.0000 0.0000 1
Ce1 Ce 0.0000 0.0000 0.1201 1
Ni1 Ni 0.0000 0.0000 0.2617 1
Ni2 Ni 0.0000 0.0000 0.4029 1
```

Calculated values
* Fermi-level density of states: 12.3 states/eV/f.u.
* crystal system: trigonal
* ΔE_f: -0.247 eV per atom
* uncorrected energy: -5.95 eV per atom

=====

Entry 3:
DFT (PBE-GGA) results for crystalline LaCe3Ni at its relaxed geometry.

CIF file:
```
data_LaCe3Ni
_symmetry_space_group_name_H-M 'P m -3 m'
_symmetry_Int_Tables_number 221
_symmetry_space_group_name_Hall '-P 4 2 3'
_cell_length_a 5.3537
_cell_length_b 5.3537
_cell_length_c 5.3537
_cell_angle_alpha 90.00
_cell_angle_beta 90.00
_cell_angle_gamma 90.00
loop_
_atom_site_label
_atom_site_type_symbol
_atom_site_fract_x
_atom_site_fract_y
_atom_site_fract_z
_atom_site_occupancy
La1 La 0.0000 0.0000 0.0000 1
Ce1 Ce 0.0000 0.5000 0.5000 1
Ni1 Ni 0.5000 0.5000 0.5000 1
```

Calculated values
* Fermi-level density of states: 16.4 states/eV/f.u.
* crystal system: cubic
* ΔE_f: 0.105 eV per atom
* uncorrected energy: -5.60 eV per atom

=====

Entry 4:
DFT (PBE-GGA) results for crystalline La2Ce3Ni2 at its relaxed geometry.

CIF file:
```
data_La2Ce3Ni2
_symmetry_space_group_name_H-M 'C 1 2/m 1'
_symmetry_Int_Tables_number 12
_cell_length_a 11.7804
_cell_length_b 3.7055
_cell_length_c 8.8866
_cell_angle_alpha 90.00
_cell_angle_beta 111.27
_cell_angle_gamma 90.00
loop_
_symmetry_equiv_pos_as_xyz
'x,y,z'
'-x,-y,-z'
'-x,y,-z'
'x,-y,z'
'x+1/2,y+1/2,z'
'-x+1/2,-y+1/2,-z'
'-x+1/2,y+1/2,-z'
'x+1/2,-y+1/2,z'
loop_
_atom_site_label
_atom_site_type_symbol
_atom_site_fract_x
_atom_site_fract_y
_atom_site_fract_z
_atom_site_occupancy
La1 La 0.1631 0.0000 0.3015 1
Ce1 Ce 0.0000 0.5000 0.5000 1
Ce2 Ce 0.1232 0.5000 0.9371 1
Ni1 Ni 0.1356 0.0000 0.7145 1
```

Calculated values
* Fermi-level density of states: 14.7 states/eV/f.u.
* crystal system: monoclinic
* ΔE_f: -0.167 eV per atom
* uncorrected energy: -5.77 eV per atom

=====

Entry 5:
DFT (PBE-GGA) results for crystalline LaCe2Ni9 at its relaxed geometry.

CIF file:
```
data_LaCe2Ni9
_symmetry_space_group_name_H-M 'R -3 m'
_symmetry_Int_Tables_number 166
_symmetry_space_group_name_Hall '-R 3 2"'
_cell_length_a 4.9911
_cell_length_b 4.9911
_cell_length_c 24.7408
_cell_angle_alpha 90.00
_cell_angle_beta 90.00
_cell_angle_gamma 120.00
loop_
_atom_site_label
_atom_site_type_symbol
_atom_site_fract_x
_atom_site_fract_y
_atom_site_fract_z
_atom_site_occupancy
La1 La 0.0000 0.0000 0.0000 1
Ce1 Ce 0.0000 0.0000 0.1389 1
Ni1 Ni 0.0000 0.0000 0.3328 1
Ni2 Ni 0.0000 0.0000 0.5000 1
Ni3 Ni 0.9995 0.4998 0.0832 1
```

Calculated values
* Fermi-level density of states: 13.6 states/eV/f.u.
* crystal system: trigonal
* ΔE_f: -0.368 eV per atom
* uncorrected energy: -6.10 eV per atom

=====

Entry 6:
DFT (PBE-GGA) results for crystalline LaCeNi4 at its relaxed geometry.

CIF file:
```
data_LaCeNi4
_symmetry_space_group_name_H-M 'F -4 3 m'
_symmetry_Int_Tables_number 216
_symmetry_space_group_name_Hall 'F -4 2 3'
_cell_length_a 7.2782
_cell_length_b 7.2782
_cell_length_c 7.2782
_cell_angle_alpha 90.00
_cell_angle_beta 90.00
_cell_angle_gamma 90.00
loop_
_atom_site_label
_atom_site_type_symbol
_atom_site_fract_x
_atom_site_fract_y
_atom_site_fract_z
_atom_site_occupancy
La1 La 0.0000 0.0000 0.0000 1
Ce1 Ce 0.2500 0.2500 0.2500 1
Ni1 Ni 0.1242 0.1242 0.6242 1
```

Calculated values
* Fermi-level density of states: 6.6 states/eV/f.u.
* crystal system: cubic
* ΔE_f: -0.333 eV per atom
* uncorrected energy: -6.00 eV per atom

=====

Entry 7:
DFT (PBE-GGA) results for crystalline LaCeNi2 at its relaxed geometry.

CIF file:
```
data_LaCeNi2
_symmetry_space_group_name_H-M 'R -3 m'
_symmetry_Int_Tables_number 166
_symmetry_space_group_name_Hall '-R 3 2"'
_cell_length_a 4.0223
_cell_length_b 4.0223
_cell_length_c 19.7483
_cell_angle_alpha 90.00
_cell_angle_beta 90.00
_cell_angle_gamma 120.00
loop_
_atom_site_label
_atom_site_type_symbol
_atom_site_fract_x
_atom_site_fract_y
_atom_site_fract_z
_atom_site_occupancy
La1 La 0.0000 0.0000 0.0000 1
Ce1 Ce 0.0000 0.0000 0.5000 1
Ni1 Ni 0.0000 0.0000 0.2430 1
```

Calculated values
* Fermi-level density of states: 3.1 states/eV/f.u.
* energy above the most stable polymorph in this dataset: 9.39 kJ/mol of atoms
* crystal system: trigonal
* ΔE_f: -0.217 eV per atom
* uncorrected energy: -5.82 eV per atom

=====

Entry 8:
DFT (PBE-GGA) results for crystalline LaCe2Ni at its relaxed geometry.

CIF file:
```
data_LaCe2Ni
_symmetry_space_group_name_H-M 'R -3 m'
_symmetry_Int_Tables_number 166
_symmetry_space_group_name_Hall '-R 3 2"'
_cell_length_a 3.5706
_cell_length_b 3.5706
_cell_length_c 30.2018
_cell_angle_alpha 90.00
_cell_angle_beta 90.00
_cell_angle_gamma 120.00
loop_
_atom_site_label
_atom_site_type_symbol
_atom_site_fract_x
_atom_site_fract_y
_atom_site_fract_z
_atom_site_occupancy
La1 La 0.0000 0.0000 0.0000 1
Ce1 Ce 0.0000 0.0000 0.1072 1
Ni1 Ni 0.0000 0.0000 0.5000 1
```

Calculated values
* Fermi-level density of states: 9.5 states/eV/f.u.
* energy above the most stable polymorph in this dataset: 17.58 kJ/mol of atoms
* crystal system: trigonal
* ΔE_f: 0.100 eV per atom
* uncorrected energy: -5.54 eV per atom